Compound: BaLi2Sc
Source: Alexandria via LeMat-Bulk
Functional: PBE-GGA
Structure: relaxed

Results
Energy of formation from the pure elements, eV/atom: 0.28
Total DFT energy (no corrections), eV/atom: -2.740
Total moment, μB/atom: 0.00

abc: 11.8742 3.5748 5.8027
angles: 90.00 109.06 90.00
Space group Cm (No. 8)
One atom of each set of equivalent atoms:
1 Ba 0.0000 0.0000 0.0000 [2 per cell]
2 Li 0.2632 0.5000 0.2104 [2 per cell]
3 Li 0.4571 0.0000 0.4786 [2 per cell]
4 Sc 0.2053 0.0000 0.6342 [2 per cell]